Entry 1:
DFT (PBE) results for an optimized crystal structure of Mo2WSe6.

Cell lengths 3.323, 3.323, 21.982 Å; angles 90.00, 90.00, 120.00 degrees
Positions (direct):
1 Mo 0.000 0.000 0.000
2 Mo 0.333 0.667 0.323
3 W 0.000 0.000 0.648
4 Se 0.000 0.000 0.247
5 Se 0.000 0.000 0.399
6 Se 0.333 0.667 0.076
7 Se 0.333 0.667 0.571
8 Se 0.333 0.667 0.724
9 Se 0.333 0.667 0.924

Values from the calculation:
Its energy above the lowest structure with this stoichiometry is 0.2 meV per atom. The value obtained for the raw formation energy is -0.64 eV/atom. The calculation puts the total energy at -6.812 eV per atom. The volume is 210.2 Å³/f.u. The magnetization comes out at 0.00 μB per cell.


Entry 2:
DFT (PBE) results for an optimized crystal structure of Ba2CaNdSe4.

Cell lengths 7.664, 4.423, 7.816 Å; angles 90.00, 109.09, 90.00 degrees
Positions (direct):
1 Ba 0.000 0.000 0.000
2 Ba 0.500 0.500 0.000
3 Ca 0.000 0.500 0.500
4 Nd 0.500 0.000 0.500
5 Se 0.241 0.000 0.720
6 Se 0.260 0.500 0.279
7 Se 0.740 0.500 0.721
8 Se 0.759 0.000 0.280

Values from the calculation:
The calculation puts the density of states at the Fermi level at 2.77 states/eV per cell. The value obtained for the raw formation energy is -1.96 eV/atom. The calculation puts the total energy at -5.026 eV per atom. The volume is 250.4 Å³/f.u. The magnetization comes out at 0.00 μB per cell.


Entry 3:
DFT (PBE) results for an optimized crystal structure of Ag8SeBr6.

Cell lengths 7.393, 7.393, 7.393 Å; angles 100.40, 100.40, 100.40 degrees
Positions (direct):
1 Ag 0.186 0.312 0.613
2 Ag 0.222 0.222 0.222
3 Ag 0.312 0.613 0.186
4 Ag 0.387 0.814 0.688
5 Ag 0.613 0.186 0.312
6 Ag 0.688 0.387 0.814
7 Ag 0.778 0.778 0.778
8 Ag 0.814 0.688 0.387
9 Se 0.500 0.500 0.500
10 Br 0.091 0.628 0.823
11 Br 0.177 0.909 0.372
12 Br 0.372 0.177 0.909
13 Br 0.628 0.823 0.091
14 Br 0.823 0.091 0.628
15 Br 0.909 0.372 0.177

Values from the calculation:
The calculation puts the density of states at the Fermi level at 4.84 states/eV per cell. The value obtained for the raw formation energy is -0.23 eV/atom. The calculation puts the total energy at -2.653 eV per atom. The volume is 381.3 Å³/f.u. The magnetization comes out at 0.00 μB per cell.


Entry 4:
DFT (PBE) results for an optimized crystal structure of MgBe2Au6.

Cell lengths 4.774, 4.774, 7.398 Å; angles 100.06, 100.06, 115.06 degrees
Positions (direct):
1 Mg 0.000 0.000 0.000
2 Be 0.251 0.749 0.500
3 Be 0.749 0.251 0.500
4 Au 0.200 0.200 0.393
5 Au 0.212 0.560 0.798
6 Au 0.440 0.788 0.202
7 Au 0.560 0.212 0.798
8 Au 0.788 0.440 0.202
9 Au 0.800 0.800 0.607

Values from the calculation:
Its energy above the lowest structure with this stoichiometry is 0.0 meV per atom. The calculation puts the density of states at the Fermi level at 2.30 states/eV per cell. The calculation puts the total energy at -3.430 eV per atom. The volume is 144.4 Å³/f.u. As for the energy relative to the elements: -240 meV per atom. The magnetization comes out at 0.00 μB per cell.